The following is a DFT calculation (GGA-PBE) of a relaxed Tb5Er2Th2 crystal.

The structure belongs to space group P-1 (No. 2); the cell edges are 3.569, 7.927 and 10.651 Å and the angles 102.76°, 90.04° and 102.98°. The inequivalent atoms are Tb at (0.000, 0.000, 0.000), Tb at (0.329, 0.660, 0.780), Tb at (0.337, 0.670, 0.444), Er at (0.002, 0.005, 0.668) and Th at (0.332, 0.666, 0.110).

As for the total magnetic moment: 0.00 μB per formula unit. Its density of states at the Fermi level is 12.475 states/eV/f.u. The total energy is -5.210 eV/atom. The formation energy is 0.025 eV/atom. Its offset from the most stable computed form is 0 kJ/mol of formula units.